DySn3Ru2: relaxed, GGA-PBE.

Output
Fermi-level density of states: 9.1 states/eV/cell
E_form: -0.17 eV per atom

abc: 6.4743 6.4743 6.9815
angles: 90.00 90.00 120.00
Fractional coordinates of all 12 atoms:
Dy  0.3333  0.6667  0.1830
Dy  0.6667  0.3333  0.8170
Sn  0.1687  0.3374  0.7852
Sn  0.1687  0.8313  0.7852
Sn  0.3374  0.1687  0.2148
Sn  0.6626  0.8313  0.7852
Sn  0.8313  0.1687  0.2148
Sn  0.8313  0.6626  0.2148
Ru  0.0000  0.0000  0.5000
Ru  0.0000  0.5000  0.5000
Ru  0.5000  0.0000  0.5000
Ru  0.5000  0.5000  0.5000

---

Dy12Sn6Ru: relaxed, GGA-PBE.

Output
Fermi-level density of states: 16.1 states/eV/cell
E_form: -0.40 eV per atom

abc: 8.6078 8.6078 8.6078
angles: 99.49 99.49 99.49
Fractional coordinates of all 19 atoms:
Dy  0.0181  0.9437  0.6870
Dy  0.0563  0.3130  0.9819
Dy  0.1949  0.5583  0.4253
Dy  0.3130  0.9819  0.0563
Dy  0.4253  0.1949  0.5583
Dy  0.4417  0.5747  0.8051
Dy  0.5583  0.4253  0.1949
Dy  0.5747  0.8051  0.4417
Dy  0.6870  0.0181  0.9437
Dy  0.8051  0.4417  0.5747
Dy  0.9437  0.6870  0.0181
Dy  0.9819  0.0563  0.3130
Sn  0.1230  0.3098  0.6388
Sn  0.3098  0.6388  0.1230
Sn  0.3612  0.8770  0.6902
Sn  0.6388  0.1230  0.3098
Sn  0.6902  0.3612  0.8770
Sn  0.8770  0.6902  0.3612
Ru  0.0000  0.0000  0.0000

---

Dy5SnRu2: relaxed, GGA-PBE.

Output
Fermi-level density of states: 15.1 states/eV/cell
E_form: -0.48 eV per atom

abc: 8.7086 8.7086 8.7086
angles: 127.40 127.40 77.60
Fractional coordinates of all 16 atoms:
Dy  0.0000  0.0000  0.0000
Dy  0.0253  0.5253  0.8170
Dy  0.2083  0.0253  0.5000
Dy  0.2917  0.7917  0.8170
Dy  0.4747  0.2917  0.5000
Dy  0.5000  0.5000  0.0000
Dy  0.5253  0.7083  0.5000
Dy  0.7083  0.2083  0.1830
Dy  0.7917  0.9747  0.5000
Dy  0.9747  0.4747  0.1830
Sn  0.2500  0.2500  0.0000
Sn  0.7500  0.7500  0.0000
Ru  0.1416  0.3584  0.5000
Ru  0.3584  0.8584  0.2169
Ru  0.6416  0.1416  0.7831
Ru  0.8584  0.6416  0.5000

---

DySn3Ru: relaxed, GGA-PBE.

Output
Fermi-level density of states: 3.5 states/eV/cell
E_form: -0.17 eV per atom

abc: 7.0883 7.0883 7.0883
angles: 60.80 60.80 60.80
Fractional coordinates of all 10 atoms:
Dy  0.0000  0.0000  0.0000
Dy  0.5000  0.5000  0.5000
Sn  0.0273  0.4750  0.1091
Sn  0.1091  0.0273  0.4750
Sn  0.4750  0.1091  0.0273
Sn  0.5273  0.6091  0.9750
Sn  0.6091  0.9750  0.5273
Sn  0.9750  0.5273  0.6091
Ru  0.3331  0.3331  0.3331
Ru  0.8331  0.8331  0.8331